1.
Material: Rb3BaF6
Method: DFT, GGA-PBE
State: optimized geometry

The density of states at the Fermi level is 1.408 states/eV per atom.

The space group is Pnnm (No. 58) and the conventional cell measures 8.066, 13.601 and 4.184 Å, with angles of 90.00, 90.00 and 90.00 degrees. Symmetry generates all atoms from Rb at (0.000, 0.000, 0.000), Rb at (0.229, 0.248, 0.500), Ba at (0.000, 0.500, 0.000), F at (0.044, 0.305, 0.000), F at (0.174, 0.572, 0.500) and F at (0.175, 0.903, 0.500).



2.
Material: Rb12Ba3F5
Method: DFT, GGA-PBE
State: optimized geometry

The density of states at the Fermi level is 0.848 states/eV per atom.

The space group is Ia-3d (No. 230) and the conventional cell measures 20.550, 20.550 and 20.550 Å, with angles of 90.00, 90.00 and 90.00 degrees. Symmetry generates all atoms from Rb at (0.029, 0.142, 0.946), Ba at (0.000, 0.250, 0.125), F at (0.000, 0.000, 0.000) and F at (0.000, 0.250, 0.375).



3.
Material: Rb2BaF4
Method: DFT, GGA-PBE
State: optimized geometry

The distance to the lowest polymorph of the same formula comes out at 0 meV/atom. The density of states at the Fermi level is 0.000 states/eV per atom.

The space group is P4_122 (No. 91) and the conventional cell measures 8.176, 8.176 and 11.425 Å, with angles of 90.00, 90.00 and 90.00 degrees. Symmetry generates all atoms from Rb at (0.000, 0.238, 0.000), Rb at (0.257, 0.257, 0.375), Ba at (0.240, 0.500, 0.750), F at (0.028, 0.270, 0.752) and F at (0.270, 0.469, 0.978).



4.
Material: Rb3Ba12F5
Method: DFT, GGA-PBE
State: optimized geometry

The density of states at the Fermi level is 1.324 states/eV per atom.

The space group is Ia-3d (No. 230) and the conventional cell measures 19.697, 19.697 and 19.697 Å, with angles of 90.00, 90.00 and 90.00 degrees. Symmetry generates all atoms from Rb at (0.000, 0.250, 0.125), Ba at (0.042, 0.146, 0.951), F at (0.000, 0.000, 0.000) and F at (0.000, 0.250, 0.375).



5.
Material: RbBaF4
Method: DFT, GGA-PBE
State: optimized geometry

The distance to the lowest polymorph of the same formula comes out at 0 meV/atom. The density of states at the Fermi level is 0.980 states/eV per atom.

The space group is P4/mmm (No. 123) and the conventional cell measures 4.277, 4.277 and 7.409 Å, with angles of 90.00, 90.00 and 90.00 degrees. Symmetry generates all atoms from Rb at (0.000, 0.000, 0.000), Ba at (0.000, 0.000, 0.500) and F at (0.000, 0.500, 0.277).



6.
Material: RbBaF3
Method: DFT, GGA-PBE
State: optimized geometry

The density of states at the Fermi level is 0.000 states/eV per atom.

The space group is C2/c (No. 15) and the conventional cell measures 12.280, 7.056 and 11.849 Å, with angles of 90.00, 109.98 and 90.00 degrees. Symmetry generates all atoms from Rb at (0.143, 0.192, 0.128), Ba at (0.000, 0.275, 0.750), Ba at (0.250, 0.250, 0.500), F at (0.068, 0.223, 0.566), F at (0.151, 0.454, 0.312) and F at (0.171, 0.057, 0.875).



The evaluated ΔE_f (raw) for the records listed, in turn: -2.7238; -1.0542; -3.1330; -1.1871; -2.7323; -3.3355 eV/atom.
The evaluated total magnetic moment for the records listed, in turn: 1.1; 2.4; 0.3; 2.5; 1.0; 0.1 μB/f.u..
The evaluated E for the records listed, in turn: -86.58; -382.55; -133.10; -472.60; -26.77; -201.45 eV/cell.